1.
In7SnBi4: relaxed, PBE.

Output
Energy of formation from the pure elements ... 1.27 eV/f.u.
VASP energy ... -3.119 eV per atom

a b c (Å): 10.2707 5.8969 13.5319
angles (deg): 90.00 107.18 90.00
Space group C2/m (No. 12)
Unique sites:
In (0.0000, 0.0000, 0.0000) x2
In (0.1253, 0.5000, 0.2370) x4
In (0.1479, 0.0000, 0.5548) x4
In (0.2039, 0.5000, 0.8677) x4
Sn (0.0000, 0.5000, 0.0000) x2
Bi (0.0563, 0.0000, 0.7776) x4
Bi (0.2436, 0.5000, 0.6423) x4

---

2.
Pm2Sm2HoTm4: relaxed, PBE.

Output
Energy of formation from the pure elements ... 0.02 eV/f.u.
VASP energy ... -4.598 eV per atom

a b c (Å): 18.6321 3.5901 9.5496
angles (deg): 90.00 115.81 90.00
Space group C2/m (No. 12)
Unique sites:
Pm (0.1653, 0.0000, 0.0021) x4
Sm (0.1471, 0.5000, 0.6626) x4
Ho (0.0000, 0.5000, 0.0000) x2
Tm (0.0195, 0.0000, 0.3327) x4
Tm (0.1847, 0.5000, 0.3363) x4

---

3.
Be9ReW2: relaxed, PBE.

Output
Energy of formation from the pure elements ... -2.76 eV/f.u.
VASP energy ... -6.221 eV per atom

a b c (Å): 4.3865 4.3865 13.8042
angles (deg): 90.00 90.00 120.00
Space group P6_3/mmc (No. 194)
Unique sites:
Be (0.0000, 0.0000, 0.0000) x2
Be (0.0000, 0.0000, 0.2500) x2
Be (0.1684, 0.3367, 0.1282) x12
Be (0.3333, 0.6667, 0.2500) x2
Re (0.3333, 0.6667, 0.7500) x2
W (0.3333, 0.6667, 0.5318) x4

---

4.
BaSnP2Pd4: relaxed, PBE.

Output
Energy of formation from the pure elements ... -5.13 eV/f.u.
VASP energy ... -5.331 eV per atom

a b c (Å): 4.1520 4.1520 9.6963
angles (deg): 90.00 90.00 90.00
Space group P4/mmm (No. 123)
Unique sites:
Ba (0.0000, 0.0000, 0.0000) x1
Sn (0.0000, 0.0000, 0.5000) x1
P (0.5000, 0.5000, 0.1921) x2
Pd (0.0000, 0.5000, 0.3125) x4

---

5.
PrCu2O4: relaxed, PBE.

Output
VASP energy ... -6.071 eV per atom
Formation energy without anion corrections ... -1385 meV/atom

a b c (Å): 5.4130 5.3802 6.4093
angles (deg): 90.00 106.15 90.00
Space group C2/m (No. 12)
Unique sites:
Pr (0.0000, 0.0000, 0.0000) x2
Cu (0.1107, 0.5000, 0.3175) x4
O (0.1658, 0.2523, 0.7488) x8

---

6.
Pr4Rh: relaxed, PBE.

Output
Energy of formation from the pure elements ... -0.64 eV/f.u.
VASP energy ... -5.421 eV per atom

a b c (Å): 5.6435 5.6435 5.6435
angles (deg): 90.00 90.00 90.00
Space group Pm-3m (No. 221)
Unique sites:
Pr (0.0000, 0.0000, 0.0000) x1
Pr (0.0000, 0.5000, 0.5000) x3
Rh (0.5000, 0.5000, 0.5000) x1

---

no.,magnetization (Bohr magnetons per cell)
1,0.00
2,0.00
3,0.00
4,0.00
5,0.00
6,1.57